First-principles (PBE-GGA) data for an optimized crystal structure of FeGe2Pt2, as listed in Alexandria via LeMat-Bulk.

The structure belongs to space group P4/mbm (No. 127); the cell edges are 7.078, 7.078 and 3.278 Å and the angles 90.00°, 90.00° and 90.00°. The asymmetric unit holds Fe at (0.000, 0.000, 0.000), Ge at (0.163, 0.337, 0.500) and Pt at (0.142, 0.642, 0.000).

As for the electronic total energy: -5.958 eV/atom.

First-principles (PBE-GGA) data for an optimized crystal structure of PmNd6Sm3, as listed in Alexandria via LeMat-Bulk.

The structure belongs to space group R32 (No. 155, hexagonal axes); the cell edges are 10.0849, 10.0849 and 11.9806 Å and the angles 90.00°, 90.00° and 120.00°. The asymmetric unit holds Pm at (0.0000, 0.0000, 0.0000), Nd at (0.0000, 0.3268, 0.0000), Nd at (0.0000, 0.6734, 0.5000), Sm at (0.0000, 0.0000, 0.2507) and Sm at (0.0000, 0.0000, 0.5000).

As for the electronic total energy: -4.521 eV/atom. The value obtained for the polymorph energy (0 for the lowest one) is 96.3 meV per atom.

First-principles (PBE-GGA) data for an optimized crystal structure of TbYCl6, as listed in Alexandria via LeMat-Bulk.

The structure belongs to space group R-3 (No. 148, hexagonal axes); the cell edges are 6.7457, 6.7457 and 18.3858 Å and the angles 90.00°, 90.00° and 120.00°. The asymmetric unit holds Tb at (0.0000, 0.0000, 0.0000), Y at (0.0000, 0.0000, 0.5000) and Cl at (0.0006, 0.6466, 0.2499).

As for the electronic total energy: -5.023 eV/atom. The value obtained for the uncorrected formation energy is -18.0 eV/f.u.

First-principles (PBE-GGA) data for an optimized crystal structure of SrGe2Te, as listed in Alexandria via LeMat-Bulk.

The structure belongs to space group I-42d (No. 122); the cell edges are 8.623, 8.623 and 6.216 Å and the angles 90.00°, 90.00° and 90.00°. The asymmetric unit holds Sr at (0.000, 0.000, 0.000), Ge at (0.221, 0.250, 0.625) and Te at (0.000, 0.000, 0.500).

As for the electronic total energy: -3.658 eV/atom. The value obtained for the uncorrected formation energy is -0.6 eV/f.u.

First-principles (PBE-GGA) data for an optimized crystal structure of Tb2Er3Mg2, as listed in Alexandria via LeMat-Bulk.

The structure belongs to space group Cmmm (No. 65); the cell edges are 3.537, 33.204 and 3.509 Å and the angles 90.00°, 90.00° and 90.00°. The asymmetric unit holds Tb at (0.000, 0.205, 0.000), Er at (0.000, 0.073, 0.000), Er at (0.000, 0.500, 0.500) and Mg at (0.000, 0.362, 0.500).

As for the electronic total energy: -3.680 eV/atom.

First-principles (PBE-GGA) data for an optimized crystal structure of TaMnRu2, as listed in Alexandria via LeMat-Bulk.

The structure belongs to space group P4mm (No. 99); the cell edges are 2.764, 2.764 and 7.596 Å and the angles 90.00°, 90.00° and 90.00°. The asymmetric unit holds Ta at (0.000, 0.000, 0.000), Mn at (0.500, 0.500, 0.257), Ru at (0.000, 0.000, 0.482) and Ru at (0.500, 0.500, 0.723).

As for the electronic total energy: -9.817 eV/atom. The value obtained for the polymorph energy (0 for the lowest one) is 336.7 meV per atom.

First-principles (PBE-GGA) data for an optimized crystal structure of Nd4Dy5Ho3, as listed in Alexandria via LeMat-Bulk.

The structure belongs to space group C2/m (No. 12); the cell edges are 16.141, 5.932 and 9.384 Å and the angles 90.00°, 116.67° and 90.00°. The asymmetric unit holds Nd at (0.084, 0.000, 0.445), Nd at (0.216, 0.000, 0.881), Dy at (0.000, 0.000, 0.000), Dy at (0.071, 0.500, 0.702), Dy at (0.171, 0.500, 0.385), Ho at (0.000, 0.500, 0.000) and Ho at (0.211, 0.000, 0.235).

As for the electronic total energy: -4.424 eV/atom.

First-principles (PBE-GGA) data for an optimized crystal structure of FeTc2Ru, as listed in Alexandria via LeMat-Bulk.

The structure belongs to space group C2/m (No. 12); the cell edges are 8.928, 2.704 and 4.624 Å and the angles 90.00°, 99.96° and 90.00°. The asymmetric unit holds Fe at (0.000, 0.000, 0.000), Tc at (0.249, 0.000, 0.751) and Ru at (0.000, 0.500, 0.500).

As for the electronic total energy: -9.499 eV/atom. The value obtained for the polymorph energy (0 for the lowest one) is 113.9 meV per atom.

Which of these has the highest electronic total energy? SrGe2Te